[1]
8
Lattice="7.544 0.000 0.000 0.000 2.511 0.000 -0.955 0.000 4.126" Properties=species:S:1:pos:R:3 comment="Be2CuNi (PBE-GGA, optimized geometry)" formation_enthalpy_0k_mev_per_atom=-105 crystal_system=monoclinic pbc="T T T"
Be 1.636 0.000 0.971
Be 1.181 1.256 3.155
Be 5.408 1.256 0.971
Be 4.953 0.000 3.155
Cu -0.477 0.000 2.063
Cu 3.295 1.256 2.063
Ni 0.000 1.256 0.000
Ni 3.772 0.000 0.000

[2]
14
Lattice="3.509 2.026 6.708 -3.509 2.026 6.708 0.000 -4.051 6.708" Properties=species:S:1:pos:R:3 comment="RbBaU4N8 (PBE-GGA, optimized geometry)" e_form_raw_ev_per_fu=-15.64 crystal_system=trigonal pbc="T T T"
Rb 0.000 0.000 0.000
Ba 0.000 0.000 7.064
U 0.000 -2.016 10.321
U -1.746 1.008 10.321
U 0.000 0.000 16.716
U 1.746 1.008 10.321
N 0.000 -2.058 4.503
N -1.782 1.029 4.503
N 0.000 0.000 2.733
N -1.653 -0.954 9.208
N 0.000 0.000 11.213
N 1.782 1.029 4.503
N 1.653 -0.954 9.208
N 0.000 1.909 9.208

Calculated DOS(E_F) in order - 1.307 13.802 states/eV/f.u.
Calculated uncorrected energy in order - -35.5 -130.3 eV per cell
Calculated magnetic moment in order - 0.000 0.219 μB per atom